The following is a PBE calculation of a geometry-optimized MnNi2RhC structure, from the Alexandria database.

Cell: 3.783 3.783 3.899 Å, 90.00 90.00 90.00°
Fractional positions:
Mn: 0.000 0.000 0.500
C: 0.000 0.000 0.000
Ni: 0.000 0.500 0.000
Ni: 0.500 0.000 0.000
Rh: 0.500 0.500 0.500

Calculated values
- ΔH_f (0 K): 0.1430 eV per atom
- Space-group type: P4/mmm